NdSnHg2 | PBE | optimized geometry

```
data_NdSnHg2
_symmetry_space_group_name_H-M 'P 4/m m m'
_symmetry_Int_Tables_number 123
_symmetry_space_group_name_Hall '-P 4 2'
_cell_length_a 4.5989
_cell_length_b 4.5989
_cell_length_c 4.8856
_cell_angle_alpha 90.00
_cell_angle_beta 90.00
_cell_angle_gamma 90.00
loop_
_atom_site_label
_atom_site_type_symbol
_atom_site_fract_x
_atom_site_fract_y
_atom_site_fract_z
Nd1 Nd 0.0000 0.0000 0.0000
Sn1 Sn 0.5000 0.5000 0.0000
Hg1 Hg 0.0000 0.5000 0.5000
```

Properties
Volume in Å³ per cell: 103.3
Calculated total energy in eV/cell: -11.22
ΔH_f (0 K) in eV/atom: -0.4604